# Hf2FeF11

Crystalline Hf2FeF11 at its relaxed geometry (PBE+U, Alexandria via LeMat-Bulk).

Summary:
For the total magnetization, the calculation gives 5.04 μB/f.u. As for the calculated total energy: -6.6397 eV per atom.

Structure (extended XYZ):
```
28
Lattice="6.9324 0.0000 3.6134 3.2146 7.0120 2.2894 0.2159 -0.1203 8.0425" Properties=species:S:1:pos:R:3 pbc="T T T"
Hf 6.6114 4.7981 6.3308
Hf 3.7516 2.0935 7.6145
Hf 6.8556 1.2320 10.1161
Hf 3.5074 5.6596 3.8291
Fe 7.7722 5.1687 10.4589
Fe 2.5907 1.7229 3.4863
F 6.5585 5.2123 8.2438
F 3.8045 1.6793 5.7014
F 2.7434 3.7676 7.7372
F 9.5934 6.5699 11.5087
F 7.6196 3.1240 6.2080
F 0.7696 0.3218 2.4366
F 5.2613 5.1252 10.7326
F 5.1017 1.7665 3.2127
F 5.1815 3.4458 6.9726
F 0.0000 0.0000 0.0000
F 8.5401 5.4732 6.6436
F 1.8229 1.4184 7.3017
F 5.4946 1.9071 8.7142
F 4.8684 4.9846 5.2310
F 6.3616 6.9242 6.0564
F 4.0014 -0.0326 7.8889
F 3.0878 1.7655 9.6417
F 1.2048 1.5600 4.7975
F 7.2752 5.1262 4.3035
F 9.1582 5.3316 9.1478
F 3.1394 3.5335 3.7815
F 7.2236 3.3581 10.1638
```